# ZnFeNi2C, optimized geometry, DFT PBE
data_ZnFeNi2C
_space_group_name_H-M_alt 'P 1'
_space_group_IT_number 1
_cell_length_a 3.776
_cell_length_b 3.776
_cell_length_c 3.726
_cell_angle_alpha 90.00
_cell_angle_beta 90.00
_cell_angle_gamma 90.00
loop_
_space_group_symop_operation_xyz
'x,y,z'
loop_
_atom_site_label
_atom_site_fract_x
_atom_site_fract_y
_atom_site_fract_z
C1 0.000 0.000 0.000
Ni1 0.000 0.500 0.000
Ni2 0.500 0.000 0.000
Zn1 0.500 0.500 0.500
Fe1 0.000 0.000 0.500
# - Mass density: 7.833 Mg/m³
# - Energy: -6.13 eV per atom
# - Formation energy from the elements: -24 meV/atom